A plane-wave DFT calculation with PBE+U was carried out for crystalline CoTePdO at its relaxed geometry.

Structure (CIF):
```
data_CoTePdO
_chemical_formula_sum 'Co8 Te8 Pd8 O8'
_cell_length_a 6.3660
_cell_length_b 13.6455
_cell_length_c 6.5484
_cell_angle_alpha 90.00
_cell_angle_beta 90.00
_cell_angle_gamma 90.00
_symmetry_space_group_name_H-M 'P b c a'
_symmetry_Int_Tables_number 61
loop_
_symmetry_equiv_pos_as_xyz
'x,y,z'
'-x,-y,-z'
'-x+1/2,-y,z+1/2'
'x+1/2,y,-z+1/2'
'x+1/2,-y+1/2,-z'
'-x+1/2,y+1/2,z'
'-x,y+1/2,-z+1/2'
'x,-y+1/2,z+1/2'
loop_
_atom_site_label
_atom_site_type_symbol
_atom_site_fract_x
_atom_site_fract_y
_atom_site_fract_z
Co1 Co 0.0173 0.2331 0.1451
Te1 Te 0.0022 0.0236 0.2474
Pd1 Pd 0.2455 0.5979 0.5522
O1 O 0.2000 0.2501 0.3954
```

Output
DFT total energy, eV per atom: -4.67
Distance to the lowest polymorph of the same formula, eV/atom: 0.3953
ρ, g/cm³: 7.2